No. 1
# Zr5C3 (GGA-PBE, relaxed)
data_Zr5C3
_chemical_formula_sum 'Zr10 C6'
_space_group_name_H-M_alt 'P 63/m c m'
_space_group_IT_number 193
_space_group_name_Hall '-P 6c 2'
_cell_length_a 7.1824
_cell_length_b 7.1824
_cell_length_c 5.2903
_cell_angle_alpha 90.00
_cell_angle_beta 90.00
_cell_angle_gamma 120.00
loop_
_atom_site_label
_atom_site_fract_x
_atom_site_fract_y
_atom_site_fract_z
Zr1 0.0000 0.2616 0.2500
Zr2 0.3333 0.6667 0.0000
C1 0.0000 0.3756 0.7500
# Magnetic moment ... 0.000 μB/atom
# ρ ... 6.92 g/cm3
# N(E_F) ... 7.3 states/eV/cell
# Excess energy over the best structure of this formula in the dataset ... 7.900 kcal/mol of atoms
# Formation energy ... -0.139 eV/atom

=====

No. 2
# Zr5C4 (GGA-PBE, relaxed)
data_Zr5C4
_chemical_formula_sum 'Zr10 C8'
_space_group_name_H-M_alt 'I 4/m m m'
_space_group_IT_number 139
_space_group_name_Hall '-I 4 2'
_cell_length_a 7.734
_cell_length_b 7.734
_cell_length_c 5.363
_cell_angle_alpha 90.00
_cell_angle_beta 90.00
_cell_angle_gamma 90.00
loop_
_atom_site_label
_atom_site_fract_x
_atom_site_fract_y
_atom_site_fract_z
Zr1 0.000 0.000 0.000
Zr2 0.215 0.215 0.500
C1 0.000 0.284 0.000
# Magnetic moment ... 0.000 μB/atom
# ρ ... 5.22 g/cm3
# N(E_F) ... 13.8 states/eV/cell
# Excess energy over the best structure of this formula in the dataset ... 21.618 kcal/mol of atoms
# Formation energy ... 0.747 eV/atom

=====

No. 3
# Zr2C (GGA-PBE, relaxed)
data_Zr2C
_chemical_formula_sum 'Zr6 C3'
_space_group_name_H-M_alt 'P -6 2 m'
_space_group_IT_number 189
_space_group_name_Hall 'P -6 -2'
_cell_length_a 6.7584
_cell_length_b 6.7584
_cell_length_c 3.5320
_cell_angle_alpha 90.00
_cell_angle_beta 90.00
_cell_angle_gamma 120.00
loop_
_atom_site_label
_atom_site_fract_x
_atom_site_fract_y
_atom_site_fract_z
Zr1 0.0000 0.2534 0.0000
Zr2 0.0000 0.5860 0.5000
C1 0.0000 0.0000 0.5000
C2 0.3333 0.6667 0.0000
# Magnetic moment ... 0.000 μB/atom
# ρ ... 6.93 g/cm3
# N(E_F) ... 7.6 states/eV/cell
# Formation energy ... -0.037 eV/atom

=====

No. 4
# Zr2C (GGA-PBE, relaxed)
data_Zr2C
_chemical_formula_sum 'Zr8 C4'
_space_group_name_H-M_alt 'C m c m'
_space_group_IT_number 63
_space_group_name_Hall '-C 2c 2'
_cell_length_a 3.147
_cell_length_b 12.977
_cell_length_c 5.160
_cell_angle_alpha 90.00
_cell_angle_beta 90.00
_cell_angle_gamma 90.00
loop_
_atom_site_label
_atom_site_fract_x
_atom_site_fract_y
_atom_site_fract_z
Zr1 0.000 0.062 0.250
Zr2 0.000 0.188 0.750
C1 0.000 0.435 0.250
# Magnetic moment ... 0.000 μB/atom
# ρ ... 6.13 g/cm3
# N(E_F) ... 12.5 states/eV/cell
# Formation energy ... 0.014 eV/atom